<1>
First-principles (PBE-GGA) data for a geometry-optimized CsK6Cd structure, as listed in the Alexandria database.

The value obtained for the density of states at the Fermi level is 6.92 states/eV/f.u. The total moment is 0.0 μB/cell.

The structure belongs to space group C2/m (No. 12); the cell edges are 10.1972, 14.8520 and 8.5100 Å and the angles 90.00°, 122.72° and 90.00°. Symmetry generates all atoms from Cs at (0.0000, 0.0000, 0.0000), K at (0.0570, 0.5000, 0.2951), K at (0.2206, 0.2234, 0.7390) and Cd at (0.0000, 0.0000, 0.5000).

=====

<2>
First-principles (PBE-GGA) data for a geometry-optimized CsK6Cd structure, as listed in the Alexandria database.

The value obtained for the density of states at the Fermi level is 6.05 states/eV/f.u. The total moment is 0.0 μB/cell.

The structure belongs to space group Amm2 (No. 38); the cell edges are 4.6222, 12.9915 and 18.5223 Å and the angles 90.00°, 90.00° and 90.00°. Symmetry generates all atoms from Cs at (0.0000, 0.0000, 0.0000), K at (0.0000, 0.0000, 0.4507), K at (0.0000, 0.2222, 0.8247), K at (0.5000, 0.0000, 0.2328), K at (0.5000, 0.1748, 0.6221) and Cd at (0.5000, 0.0000, 0.7979).

=====

What is the stability order? It is <1>, <2>, from most stable to least stable.